Here is an optimized crystal structure of KScSn from the Alexandria database. Energies are from PBE-GGA.

Lattice parameters (Å, degrees): 6.5075 6.5075 10.8324 90.00 90.00 120.00
Last column: nearest neighbours and their distance in Å.
Sites, in units of the cell vectors:
K1 0.3333 0.6667 0.2500  3 Sc 3.76
K2 0.6667 0.3333 0.7500  3 Sc 3.76
Sc1 0.0000 0.0000 0.2500  2 Sn 2.71
Sc2 0.0000 0.0000 0.7500  2 Sn 2.71
Sn1 0.0000 0.0000 0.0000  2 Sc 2.71
Sn2 0.0000 0.0000 0.5000  2 Sc 2.71

* ΔE_f: 0.832 eV/atom